1.
Compound: Te2PPb
Source: Alexandria via LeMat-Bulk
Functional: PBE
Structure: optimized geometry

a b c (Å): 4.324 4.324 27.138
angles (deg): 90.00 90.00 120.00
Fractional coordinates of all 12 atoms:
Te1 0.000 0.000 0.092
Te2 0.000 0.000 0.908
Te3 0.333 0.667 0.574
Te4 0.333 0.667 0.759
Te5 0.667 0.333 0.241
Te6 0.667 0.333 0.426
P1 0.000 0.000 0.000
P2 0.333 0.667 0.667
P3 0.667 0.333 0.333
Pb1 0.000 0.000 0.500
Pb2 0.333 0.667 0.167
Pb3 0.667 0.333 0.833

## Properties
Calculated total energy, eV per formula unit: -13.83
ΔE to the lowest computed polymorph, eV per formula unit: 1.52
SG: R-3m
Formation energy (no corrections), meV/atom: 392

***

2.
Compound: TePPb
Source: Alexandria via LeMat-Bulk
Functional: PBE
Structure: optimized geometry

a b c (Å): 4.466 4.701 15.428
angles (deg): 90.00 90.00 90.00
Fractional coordinates of all 12 atoms:
Te1 0.000 0.000 0.000
Te2 0.000 0.500 0.500
Te3 0.500 0.000 0.500
Te4 0.500 0.500 0.000
P1 0.000 0.000 0.677
P2 0.000 0.500 0.177
P3 0.500 0.000 0.177
P4 0.500 0.500 0.677
Pb1 0.000 0.000 0.300
Pb2 0.000 0.500 0.800
Pb3 0.500 0.000 0.800
Pb4 0.500 0.500 0.300

## Properties
Calculated total energy, eV per formula unit: -10.86
ΔE to the lowest computed polymorph, eV per formula unit: 1.25
SG: Fmm2
Formation energy (no corrections), meV/atom: 466

***

3.
Compound: Te2PPb
Source: Alexandria via LeMat-Bulk
Functional: PBE
Structure: optimized geometry

a b c (Å): 6.245 6.245 15.484
angles (deg): 90.00 90.00 90.00
Fractional coordinates of all 16 atoms:
Te1 0.180 0.250 0.125
Te2 0.250 0.680 0.375
Te3 0.250 0.820 0.875
Te4 0.320 0.250 0.625
Te5 0.680 0.750 0.625
Te6 0.750 0.180 0.875
Te7 0.750 0.320 0.375
Te8 0.820 0.750 0.125
P1 0.000 0.000 0.000
P2 0.000 0.500 0.250
P3 0.500 0.000 0.750
P4 0.500 0.500 0.500
Pb1 0.000 0.000 0.500
Pb2 0.000 0.500 0.750
Pb3 0.500 0.000 0.250
Pb4 0.500 0.500 0.000

## Properties
Calculated total energy, eV per formula unit: -14.64
ΔE to the lowest computed polymorph, eV per formula unit: 0.71
SG: I-42d
Formation energy (no corrections), meV/atom: 191

***

4.
Compound: TePPb2
Source: Alexandria via LeMat-Bulk
Functional: PBE
Structure: optimized geometry

a b c (Å): 7.596 7.596 9.651
angles (deg): 90.00 90.00 90.00
Fractional coordinates of all 16 atoms:
Te1 0.000 0.000 0.000
Te2 0.000 0.500 0.250
Te3 0.500 0.000 0.750
Te4 0.500 0.500 0.500
P1 0.000 0.000 0.500
P2 0.000 0.500 0.750
P3 0.500 0.000 0.250
P4 0.500 0.500 0.000
Pb1 0.211 0.250 0.625
Pb2 0.250 0.711 0.875
Pb3 0.250 0.789 0.375
Pb4 0.289 0.250 0.125
Pb5 0.711 0.750 0.125
Pb6 0.750 0.211 0.375
Pb7 0.750 0.289 0.875
Pb8 0.789 0.750 0.625

## Properties
Calculated total energy, eV per formula unit: -15.63
ΔE to the lowest computed polymorph, eV per formula unit: 0.58
SG: I-42d
Formation energy (no corrections), meV/atom: 85

***

5.
Compound: Te2P2Pb3
Source: Alexandria via LeMat-Bulk
Functional: PBE
Structure: optimized geometry

a b c (Å): 7.863 9.748 5.529
angles (deg): 90.00 90.00 90.00
Fractional coordinates of all 14 atoms:
Te1 0.250 0.069 0.028
Te2 0.250 0.431 0.028
Te3 0.750 0.569 0.972
Te4 0.750 0.931 0.972
P1 0.250 0.250 0.690
P2 0.250 0.750 0.474
P3 0.750 0.250 0.526
P4 0.750 0.750 0.310
Pb1 0.000 0.000 0.500
Pb2 0.000 0.500 0.500
Pb3 0.250 0.750 0.963
Pb4 0.500 0.000 0.500
Pb5 0.500 0.500 0.500
Pb6 0.750 0.250 0.037

## Properties
Calculated total energy, eV per formula unit: -26.97
SG: Pmmn
Formation energy (no corrections), meV/atom: 179

***

6.
Compound: Te2PPb
Source: Alexandria via LeMat-Bulk
Functional: PBE
Structure: optimized geometry

a b c (Å): 4.397 4.397 21.933
angles (deg): 90.00 90.00 120.00
Fractional coordinates of all 12 atoms:
Te1 0.000 0.000 0.000
Te2 0.000 0.000 0.217
Te3 0.333 0.667 0.667
Te4 0.333 0.667 0.884
Te5 0.667 0.333 0.333
Te6 0.667 0.333 0.550
P1 0.000 0.000 0.505
P2 0.333 0.667 0.172
P3 0.667 0.333 0.838
Pb1 0.000 0.000 0.744
Pb2 0.333 0.667 0.411
Pb3 0.667 0.333 0.078

## Properties
Calculated total energy, eV per formula unit: -15.03
ΔE to the lowest computed polymorph, eV per formula unit: 0.32
SG: R3m
Formation energy (no corrections), meV/atom: 93

***

7.
Compound: TePPb2
Source: Alexandria via LeMat-Bulk
Functional: PBE
Structure: optimized geometry

a b c (Å): 3.576 3.576 8.656
angles (deg): 90.00 90.00 90.00
Fractional coordinates of all 4 atoms:
Te1 0.000 0.000 0.000
P1 0.000 0.000 0.500
Pb1 0.500 0.500 0.301
Pb2 0.500 0.500 0.699

## Properties
Calculated total energy, eV per formula unit: -15.46
ΔE to the lowest computed polymorph, eV per formula unit: 0.75
SG: P4/mmm
Formation energy (no corrections), meV/atom: 128

***

8.
Compound: Te2PPb
Source: Alexandria via LeMat-Bulk
Functional: PBE
Structure: optimized geometry

a b c (Å): 3.933 5.459 10.296
angles (deg): 90.00 90.00 90.00
Fractional coordinates of all 8 atoms:
Te1 0.000 0.000 0.191
Te2 0.000 0.000 0.809
Te3 0.500 0.500 0.309
Te4 0.500 0.500 0.691
P1 0.000 0.500 0.500
P2 0.500 0.000 0.000
Pb1 0.000 0.500 0.000
Pb2 0.500 0.000 0.500

## Properties
Calculated total energy, eV per formula unit: -14.82
ΔE to the lowest computed polymorph, eV per formula unit: 0.53
SG: Immm
Formation energy (no corrections), meV/atom: 145

***

Number 1: calculated volume 439.5 Å³/cell. Number 2: calculated volume 323.9 Å³/cell. Number 3: calculated volume 603.8 Å³/cell. Number 4: calculated volume 556.9 Å³/cell. Number 5: calculated volume 423.8 Å³/cell. Number 6: calculated volume 367.2 Å³/cell. Number 7: calculated volume 110.7 Å³/cell. Number 8: calculated volume 221.1 Å³/cell.